Arrangement w

{
  "formula": "Pm12DySc6",
  "functional": "PBE",
  "state": "relaxed",
  "lattice": [[-5.313, 5.313, 5.313], [5.313, -5.313, 5.313], [5.313, 5.313, -5.313]],
  "species": ["Pm", "Pm", "Pm", "Pm", "Pm", "Pm", "Pm", "Pm", "Pm", "Pm", "Pm", "Pm", "Dy", "Sc", "Sc", "Sc", "Sc", "Sc", "Sc"],
  "frac_coords": [[0.070, 0.801, 0.268], [0.199, 0.268, 0.467], [0.199, 0.732, 0.930], [0.268, 0.070, 0.801], [0.268, 0.467, 0.199], [0.467, 0.199, 0.268], [0.533, 0.801, 0.732], [0.732, 0.533, 0.801], [0.732, 0.930, 0.199], [0.801, 0.268, 0.070], [0.801, 0.732, 0.533], [0.930, 0.199, 0.732], [0.000, 0.000, 0.000], [0.138, 0.638, 0.500], [0.362, 0.500, 0.862], [0.500, 0.138, 0.638], [0.500, 0.862, 0.362], [0.638, 0.500, 0.138], [0.862, 0.362, 0.500]],
  "n_ef_per_ev_fu": 32.47,
  "space_group": "Im-3",
  "rho_g_cm3": 6.0,
  "magnetic_moment_mub_per_fu": 0.0
}


Arrangement x

{
  "formula": "Pm12DySc6",
  "functional": "PBE",
  "state": "relaxed",
  "lattice": [[7.231, 4.175, 3.391], [-7.231, 4.175, 3.391], [0.000, -8.350, 3.391]],
  "species": ["Pm", "Pm", "Pm", "Pm", "Pm", "Pm", "Pm", "Pm", "Pm", "Pm", "Pm", "Pm", "Dy", "Sc", "Sc", "Sc", "Sc", "Sc", "Sc"],
  "frac_coords": [[0.134, 0.828, 0.279], [0.172, 0.721, 0.866], [0.196, 0.572, 0.479], [0.279, 0.134, 0.828], [0.428, 0.521, 0.804], [0.479, 0.196, 0.572], [0.521, 0.804, 0.428], [0.572, 0.479, 0.196], [0.721, 0.866, 0.172], [0.804, 0.428, 0.521], [0.828, 0.279, 0.134], [0.866, 0.172, 0.721], [0.000, 0.000, 0.000], [0.072, 0.187, 0.463], [0.187, 0.463, 0.072], [0.463, 0.072, 0.187], [0.537, 0.928, 0.813], [0.813, 0.537, 0.928], [0.928, 0.813, 0.537]],
  "n_ef_per_ev_fu": 29.06,
  "space_group": "R-3",
  "rho_g_cm3": 5.9,
  "magnetic_moment_mub_per_fu": 0.0
}


Relative energies in meV/atom: arrangement w 0; arrangement x 37


Arrangement w

{
  "formula": "Pm3Dy8Sc2",
  "functional": "PBE",
  "state": "relaxed",
  "lattice": [[7.177, -4.570, 0.000], [7.177, 4.570, 0.000], [-1.081, 0.000, 6.576]],
  "species": ["Pm", "Pm", "Pm", "Dy", "Dy", "Dy", "Dy", "Dy", "Dy", "Dy", "Dy", "Sc", "Sc"],
  "frac_coords": [[0.000, 0.000, 0.000], [0.170, 0.830, 0.500], [0.830, 0.170, 0.500], [0.202, 0.563, 0.064], [0.211, 0.211, 0.303], [0.416, 0.416, 0.637], [0.437, 0.798, 0.936], [0.563, 0.202, 0.064], [0.584, 0.584, 0.363], [0.789, 0.789, 0.697], [0.798, 0.437, 0.936], [0.199, 0.199, 0.800], [0.801, 0.801, 0.200]],
  "n_ef_per_ev_fu": 22.37,
  "space_group": "C2/m",
  "rho_g_cm3": 7.0,
  "magnetic_moment_mub_per_fu": 0.0
}


Arrangement x

{
  "formula": "Pm3Dy8Sc2",
  "functional": "PBE",
  "state": "relaxed",
  "lattice": [[9.754, -3.862, 0.000], [9.754, 3.862, 0.000], [-0.003, 0.000, 5.595]],
  "species": ["Pm", "Pm", "Pm", "Dy", "Dy", "Dy", "Dy", "Dy", "Dy", "Dy", "Dy", "Sc", "Sc"],
  "frac_coords": [[0.000, 0.000, 0.000], [0.292, 0.708, 0.500], [0.708, 0.292, 0.500], [0.136, 0.136, 0.500], [0.178, 0.595, 0.000], [0.322, 0.322, 0.499], [0.405, 0.822, 0.000], [0.595, 0.178, 0.000], [0.678, 0.678, 0.501], [0.822, 0.405, 0.000], [0.864, 0.864, 0.500], [0.241, 0.241, 0.999], [0.759, 0.759, 0.001]],
  "n_ef_per_ev_fu": 19.28,
  "space_group": "C2/m",
  "rho_g_cm3": 7.2,
  "magnetic_moment_mub_per_fu": 0.0
}


Relative energies in meV/atom: arrangement w 27; arrangement x 0


Arrangement w

{
  "formula": "Pm2Dy8Sc3",
  "functional": "PBE",
  "state": "relaxed",
  "lattice": [[6.055, 0.000, 0.000], [-1.001, 5.983, 0.000], [-1.999, -0.346, 10.838]],
  "species": ["Pm", "Pm", "Dy", "Dy", "Dy", "Dy", "Dy", "Dy", "Dy", "Dy", "Sc", "Sc", "Sc"],
  "frac_coords": [[0.116, 0.269, 0.461], [0.884, 0.731, 0.539], [0.042, 0.417, 0.147], [0.193, 0.122, 0.780], [0.347, 0.807, 0.378], [0.423, 0.660, 0.701], [0.577, 0.340, 0.299], [0.653, 0.193, 0.622], [0.807, 0.878, 0.220], [0.958, 0.583, 0.853], [0.274, 0.961, 0.073], [0.500, 0.500, 0.000], [0.726, 0.039, 0.927]],
  "n_ef_per_ev_fu": 20.62,
  "space_group": "P-1",
  "rho_g_cm3": 7.3,
  "magnetic_moment_mub_per_fu": 0.0
}


Arrangement x

{
  "formula": "Pm2Dy8Sc3",
  "functional": "PBE",
  "state": "relaxed",
  "lattice": [[7.353, -4.348, 0.000], [7.353, 4.348, 0.000], [-0.920, 0.000, 6.497]],
  "species": ["Pm", "Pm", "Dy", "Dy", "Dy", "Dy", "Dy", "Dy", "Dy", "Dy", "Sc", "Sc", "Sc"],
  "frac_coords": [[0.204, 0.204, 0.282], [0.796, 0.796, 0.718], [0.190, 0.190, 0.790], [0.209, 0.574, 0.576], [0.412, 0.412, 0.112], [0.426, 0.791, 0.424], [0.574, 0.209, 0.576], [0.588, 0.588, 0.888], [0.791, 0.426, 0.424], [0.810, 0.810, 0.210], [0.000, 0.000, 0.500], [0.164, 0.836, 0.000], [0.836, 0.164, 0.000]],
  "n_ef_per_ev_fu": 19.08,
  "space_group": "C2/m",
  "rho_g_cm3": 6.9,
  "magnetic_moment_mub_per_fu": 0.0
}


Relative energies in meV/atom: arrangement w 0; arrangement x 209